Here is an optimized crystal structure of Mo2HIrF from Alexandria via LeMat-Bulk. Energies are from PBE+U.

a b c (Å): 4.9508 4.9508 3.9755
angles (deg): 90.00 90.00 90.00
Fractional coordinates of all 5 atoms:
Mo1 0.0000 0.5000 0.0000
Mo2 0.5000 0.0000 0.0000
H1 0.0000 0.0000 0.5000
Ir1 0.5000 0.5000 0.5000
F1 0.5000 0.5000 0.0000

Computed properties:
symmetry: No. 123
density of states at the Fermi level: 2.23 states/eV/f.u.
energy: -4.20 eV per atom